1.
Entry from the Alexandria database: a relaxed structure of La3Se5 (PBE-GGA).

Values from the calculation:
- Energy relative to the lowest polymorph listed for this composition: 0.0 meV per atom
- E_form (uncorrected): -1904 meV per atom

Geometry as POSCAR:
```
La3Se5
1.0
-3.8876 -3.5888 -2.8621
-3.6444 -2.4327 8.0005
-3.3139 7.1959 -4.5216
La Se
6 10
Cartesian
-2.3000 -1.7837 2.1999
-5.3945 2.1302 1.4956
-2.1795 1.7251 -2.3633
-5.0220 1.8821 -5.0205
-5.4514 -0.9558 -0.8789
-5.2321 -4.2378 2.9385
-3.5342 0.7768 3.8265
-3.5945 -2.6479 5.0419
-3.3567 4.2812 -3.9694
-5.4780 -1.0176 2.3954
-3.4240 3.9864 -0.3476
-3.9375 -3.3736 0.0965
-3.8448 -0.6741 -3.4143
-2.9228 0.4382 0.2598
-5.3678 2.1920 -1.7787
-7.9231 0.7362 0.3569
```



2.
Entry from the Alexandria database: a relaxed structure of Sm8CuIr2 (PBE-GGA).

Values from the calculation:
- Formation enthalpy at 0 K: -2.8 eV/f.u.

Geometry as POSCAR:
```
Sm8CuIr2
1.0
6.1628 0.1493 -0.9778
-1.8881 6.7938 -2.7440
-0.0875 -0.0070 7.5659
Sm Ir Cu
8 2 1
Cartesian
0.4130 6.3583 2.0755
3.5877 4.5033 2.3440
3.0182 2.4284 -0.9379
0.4076 2.5251 1.5945
4.5600 5.4379 -1.4720
0.9008 4.5162 4.8682
3.4979 0.6167 1.8085
5.5759 1.6008 4.3448
2.3444 2.2418 3.8628
1.6786 4.7564 0.0508
1.0457 0.0749 -0.1332
```



3.
Entry from the Alexandria database: a relaxed structure of Mn3WN (PBE-GGA).

Values from the calculation:
- Energy relative to the lowest polymorph listed for this composition: 2477.5 meV per atom
- E_form (uncorrected): 2370 meV per atom

Geometry as POSCAR:
```
Mn3WN
1.0
4.6657 0.0000 0.0000
0.0000 4.6657 0.0000
0.0000 0.0000 4.6657
Mn N W
3 1 1
Cartesian
0.0000 2.3328 0.0000
2.3328 0.0000 0.0000
0.0000 0.0000 2.3328
2.3328 2.3328 2.3328
0.0000 0.0000 0.0000
```



4.
Entry from the Alexandria database: a relaxed structure of Zn2CdTc (PBE-GGA).

Values from the calculation:
- Formation enthalpy at 0 K: 0.7 eV/f.u.

Geometry as POSCAR:
```
Zn2CdTc
1.0
4.3247 0.0000 0.0000
0.0000 2.7642 -0.0008
0.0000 1.3690 5.2913
Zn Tc Cd
2 1 1
Cartesian
0.0000 1.8909 5.1729
2.1624 0.5166 1.3282
2.1624 3.2693 4.1656
0.0000 1.8920 2.5603
```



5.
Entry from the Alexandria database: a relaxed structure of Nd7Sm3Cd (PBE-GGA).

Values from the calculation:
- Formation enthalpy at 0 K: 1.5 eV/f.u.

Geometry as POSCAR:
```
Nd7Sm3Cd
1.0
-3.4681 7.0899 -3.7659
-3.4945 -4.1673 -4.6274
-3.0559 1.7976 6.1985
Nd Sm Cd
7 3 1
Cartesian
-4.9770 0.0226 -4.4892
-5.2784 -0.4223 1.6333
-3.2533 2.0782 -2.2066
-6.4844 0.9093 -1.4317
-2.0291 0.7532 0.8540
-3.7394 -1.3793 -1.4436
-3.5450 1.6449 3.9288
-7.7244 2.2819 -4.4700
-5.9875 4.3533 -2.1699
-4.4685 3.4598 -5.2509
-4.7644 3.0031 0.8934
```



6.
Entry from the Alexandria database: a relaxed structure of Tm5Tl4Pd (PBE-GGA).

Values from the calculation:
- Formation enthalpy at 0 K: -4.4 eV/f.u.

Geometry as POSCAR:
```
Tm5Tl4Pd
1.0
3.5341 0.0000 0.0000
0.0000 3.5341 0.0000
0.0000 0.0000 20.2381
Tm Tl Pd
5 4 1
Cartesian
1.7670 1.7670 18.5626
1.7670 1.7670 1.6755
1.7670 1.7670 10.1191
1.7670 1.7670 14.3475
1.7670 1.7670 5.8906
0.0000 0.0000 16.4269
0.0000 0.0000 8.0105
0.0000 0.0000 12.2277
0.0000 0.0000 3.8112
0.0000 0.0000 0.0000
```



7.
Entry from the Alexandria database: a relaxed structure of Al5Re (PBE-GGA).

Values from the calculation:
- Formation enthalpy at 0 K: -0.9 eV/f.u.

Geometry as POSCAR:
```
Al5Re
1.0
-0.8261 -4.8965 0.0796
1.4815 -4.0580 -2.4498
4.2822 -2.2726 3.1534
Al Re
5 1
Cartesian
3.5074 -7.3362 0.7681
3.0300 -9.8972 -0.5163
1.3567 -6.2969 -0.8495
1.8654 -3.6200 0.5019
0.8789 -8.8583 -2.1344
4.0069 -4.7562 2.0790
```



8.
Entry from the Alexandria database: a relaxed structure of BeBiPt3 (PBE-GGA).

Values from the calculation:
- Formation enthalpy at 0 K: -0.6 eV/f.u.
- Energy relative to the lowest polymorph listed for this composition: 310.1 meV per atom

Geometry as POSCAR:
```
BeBiPt3
1.0
-4.3089 0.4107 -0.8683
-0.9566 -2.1999 3.7060
-0.0879 3.8054 2.2362
Pt Bi Be
3 1 1
Cartesian
-0.0440 1.9027 1.1181
-0.4783 -1.1000 1.8530
-2.1544 0.2054 -0.4342
-2.6767 1.0081 2.5369
0.0000 0.0000 0.0000
```



9.
Entry from the Alexandria database: a relaxed structure of Cs2SrCu2H6 (PBE-GGA).

Values from the calculation:
- Raw total energy: -3.06 eV per atom

Geometry as POSCAR:
```
Cs2SrCu2H6
1.0
-1.4868 2.6806 -5.2447
-3.4264 -4.5380 2.1701
-1.0844 6.6337 3.6979
H Cu Sr Cs
6 2 1 2
Cartesian
-2.3330 0.2636 0.7961
-3.6647 4.5127 -0.1728
-4.4699 1.0042 3.6732
-5.2698 2.4464 0.8515
-1.5277 3.7721 -3.0499
-0.7278 2.3299 -0.2281
-4.9343 3.5147 -0.3229
-1.0633 1.2616 0.9462
-1.2856 4.6571 -0.7734
-2.6675 0.9085 -2.2976
-3.3301 3.8677 2.9209
```



10.
Entry from the Alexandria database: a relaxed structure of Zn2CrMo (PBE-GGA).

Values from the calculation:
- Formation enthalpy at 0 K: 0.9 eV/f.u.
- Energy relative to the lowest polymorph listed for this composition: 92.7 meV per atom

Geometry as POSCAR:
```
Zn2CrMo
1.0
-2.2212 1.2297 -0.5329
-1.0959 -2.2603 -0.6481
-2.5007 -1.0690 7.9569
Cr Mo Zn
1 1 2
Cartesian
-1.2216 -0.5222 3.8871
-3.5323 -1.3163 5.3716
-2.3000 -0.7895 1.4508
-0.0141 -0.0060 0.0449
```



11.
Entry from the Alexandria database: a relaxed structure of Ba2NaAl (PBE-GGA).

Values from the calculation:
- Formation enthalpy at 0 K: 2.0 eV/f.u.

Geometry as POSCAR:
```
Ba2NaAl
1.0
-0.3554 1.3931 3.7166
-2.5776 -1.6923 2.5243
8.8434 -8.7957 6.2790
Al Ba Na
1 2 1
Cartesian
0.0000 0.0000 0.0000
-0.4779 -2.4731 7.2905
6.3883 -6.6219 5.2294
2.9552 -4.5475 6.2599
```



12.
Entry from the Alexandria database: a relaxed structure of Pm6Y2Tm3Th (PBE-GGA).

Values from the calculation:
- Formation enthalpy at 0 K: 0.4 eV/f.u.

Geometry as POSCAR:
```
Pm6Y2Tm3Th
1.0
6.2289 0.0000 0.0248
-3.1129 5.3952 0.0248
-1.0871 -1.8823 11.6689
Pm Tm Y Th
6 3 2 1
Cartesian
-0.0129 3.5331 8.7665
-1.0377 1.7585 2.9520
-0.0494 -0.0855 8.7477
2.0783 3.5985 2.9708
2.0418 -0.0200 2.9520
3.0666 1.7545 8.7665
1.0144 1.7565 5.8593
-2.0974 3.5537 5.8593
4.1263 -0.0407 5.8593
0.0003 3.5972 0.0248
3.1156 1.7980 0.0248
0.0000 0.0000 0.0000
```



no.,M_tot (Bohr magnetons per cell)
1,0.00
2,0.00
3,7.08
4,0.00
5,0.00
6,0.29
7,0.00
8,0.00
9,0.00
10,0.00
11,0.00
12,0.00